(1)
This record from Alexandria via LeMat-Bulk describes MgGe after structural relaxation. The functional is PBE.

Cell lengths 7.565, 7.565, 7.565 Å; angles 90.00, 90.00, 90.00 degrees
Fractional coordinates of all 12 atoms:
Mg  0.250  0.500  0.000
Mg  0.750  0.500  0.000
Mg  0.500  0.000  0.250
Mg  0.500  0.000  0.750
Mg  0.000  0.250  0.500
Mg  0.000  0.750  0.500
Ge  0.250  0.000  0.500
Ge  0.750  0.000  0.500
Ge  0.000  0.500  0.250
Ge  0.000  0.500  0.750
Ge  0.500  0.250  0.000
Ge  0.500  0.750  0.000

Computed properties:
Crystal system: cubic
Symmetry: Pm-3n (223)
Energy of formation, eV per formula unit: 1.173

(2)
This record from Alexandria via LeMat-Bulk describes MgGe after structural relaxation. The functional is PBE.

Cell lengths 4.743, 4.743, 5.440 Å; angles 90.00, 90.00, 120.00 degrees
Fractional coordinates of all 4 atoms:
Mg  0.333  0.667  0.250
Mg  0.667  0.333  0.750
Ge  0.333  0.667  0.750
Ge  0.667  0.333  0.250

Computed properties:
Crystal system: hexagonal
Symmetry: P6_3/mmc (194)
Energy of formation, eV per formula unit: 0.478

(3)
This record from Alexandria via LeMat-Bulk describes MgGe after structural relaxation. The functional is PBE.

Cell lengths 9.103, 9.103, 4.642 Å; angles 90.00, 90.00, 90.00 degrees
Fractional coordinates of all 16 atoms:
Mg  0.589  0.736  0.000
Mg  0.411  0.264  0.000
Mg  0.264  0.589  0.000
Mg  0.736  0.411  0.000
Mg  0.089  0.236  0.500
Mg  0.911  0.764  0.500
Mg  0.764  0.089  0.500
Mg  0.236  0.911  0.500
Ge  0.189  0.073  0.000
Ge  0.811  0.927  0.000
Ge  0.927  0.189  0.000
Ge  0.073  0.811  0.000
Ge  0.689  0.573  0.500
Ge  0.311  0.427  0.500
Ge  0.427  0.689  0.500
Ge  0.573  0.311  0.500

Computed properties:
Crystal system: tetragonal
Symmetry: I4/m (87)
Energy of formation, eV per formula unit: -0.054

(4)
This record from Alexandria via LeMat-Bulk describes MgGe after structural relaxation. The functional is PBE.

Cell lengths 6.885, 6.885, 4.806 Å; angles 90.00, 90.00, 90.00 degrees
Fractional coordinates of all 8 atoms:
Mg  0.240  0.760  0.000
Mg  0.740  0.740  0.500
Mg  0.260  0.260  0.500
Mg  0.760  0.240  0.000
Ge  0.376  0.376  0.000
Ge  0.876  0.124  0.500
Ge  0.124  0.876  0.500
Ge  0.624  0.624  0.000

Computed properties:
Crystal system: tetragonal
Symmetry: P4_2/mnm (136)
Energy of formation, eV per formula unit: 0.381

Respective mass density values: 2.2; 3.0; 3.3; 2.8 g cm⁻³.
Respective DFT total energy values: -2.52; -2.87; -3.13; -2.92 eV per atom.
Respective Fermi-level density of states values: 0.77; 0.59; 0.20; 0.63 states/eV/atom.